Entry 1:
{
  "formula": "Pm6Nd3Cd",
  "functional": "PBE-GGA",
  "state": "optimized geometry",
  "e_tot_ev_per_atom": -4.34,
  "magnetic_moment_mub_per_fu": 0.000,
  "crystal_system": "orthorhombic",
  "ef_ev_per_atom": 0.04,
  "n_ef_per_ev_atom": 1.319,
  "lattice_angstrom": [[-4.903, 3.686, 1.756], [-6.218, -9.241, 2.031], [6.578, 5.093, 7.679]],
  "species": ["Pm", "Pm", "Pm", "Pm", "Pm", "Pm", "Pm", "Pm", "Pm", "Pm", "Pm", "Pm", "Cd", "Cd", "Nd", "Nd", "Nd", "Nd", "Nd", "Nd"],
  "fractional_positions": [[0.161, 0.706, 0.294], [0.557, 0.289, 0.362], [0.879, 0.428, 0.036], [0.879, 0.964, 0.572], [0.388, 0.945, 0.055], [0.057, 0.362, 0.289], [0.557, 0.638, 0.711], [0.057, 0.711, 0.638], [0.661, 0.294, 0.706], [0.379, 0.572, 0.964], [0.888, 0.055, 0.945], [0.379, 0.036, 0.428], [0.165, 0.240, 0.760], [0.665, 0.760, 0.240], [0.406, 0.957, 0.705], [0.906, 0.043, 0.295], [0.588, 0.605, 0.395], [0.088, 0.395, 0.605], [0.906, 0.705, 0.957], [0.406, 0.295, 0.043]]
}


Entry 2:
{
  "formula": "CaNi3Ir",
  "functional": "PBE-GGA",
  "state": "optimized geometry",
  "e_tot_ev_per_atom": -3.88,
  "magnetic_moment_mub_per_fu": 0.363,
  "crystal_system": "cubic",
  "ef_ev_per_atom": 1.76,
  "n_ef_per_ev_atom": 1.798,
  "lattice_angstrom": [[-3.937, 0.526, 1.738], [0.702, -3.386, 2.616], [1.675, 2.657, 2.989]],
  "species": ["Ni", "Ni", "Ni", "Ir", "Ca"],
  "fractional_positions": [[0.000, 0.500, 0.000], [0.500, 0.000, 0.000], [0.000, 0.000, 0.500], [0.500, 0.500, 0.500], [0.000, 0.000, 0.000]]
}


Entry 3:
{
  "formula": "CsRb2Ba2",
  "functional": "PBE-GGA",
  "state": "optimized geometry",
  "e_tot_ev_per_atom": -1.13,
  "magnetic_moment_mub_per_fu": 0.000,
  "crystal_system": "tetragonal",
  "ef_ev_per_atom": 0.20,
  "n_ef_per_ev_atom": 1.742,
  "lattice_angstrom": [[6.040, 0.000, 0.000], [0.000, 6.040, 0.000], [3.020, 3.020, 11.918]],
  "species": ["Rb", "Rb", "Ba", "Ba", "Cs"],
  "fractional_positions": [[0.601, 0.601, 0.799], [0.399, 0.399, 0.201], [0.750, 0.250, 0.500], [0.250, 0.750, 0.500], [0.000, 0.000, 0.000]]
}


Entry 4:
{
  "formula": "LiMnSi",
  "functional": "PBE-GGA",
  "state": "optimized geometry",
  "e_tot_ev_per_atom": -5.67,
  "magnetic_moment_mub_per_fu": 0.001,
  "crystal_system": "orthorhombic",
  "n_ef_per_ev_atom": 0.662,
  "e_form_raw_mev_per_atom": -168.8,
  "lattice_angstrom": [[7.461, 0.000, 0.000], [0.000, 4.881, 0.000], [0.000, 0.000, 8.000]],
  "species": ["Li", "Li", "Li", "Li", "Li", "Li", "Li", "Li", "Si", "Si", "Si", "Si", "Si", "Si", "Si", "Si", "Mn", "Mn", "Mn", "Mn", "Mn", "Mn", "Mn", "Mn"],
  "fractional_positions": [[0.652, 0.000, 0.500], [0.848, 0.500, 0.500], [0.348, 0.500, 0.000], [0.348, 0.000, 0.500], [0.652, 0.500, 0.000], [0.152, 0.500, 0.500], [0.848, 0.000, 0.000], [0.152, 0.000, 0.000], [0.750, 0.750, 0.750], [0.250, 0.750, 0.250], [0.750, 0.250, 0.250], [0.250, 0.750, 0.750], [0.250, 0.250, 0.250], [0.250, 0.250, 0.750], [0.750, 0.750, 0.250], [0.750, 0.250, 0.750], [0.500, 0.500, 0.368], [0.000, 0.500, 0.132], [0.500, 0.000, 0.132], [0.000, 0.500, 0.868], [0.500, 0.000, 0.868], [0.500, 0.500, 0.632], [0.000, 0.000, 0.632], [0.000, 0.000, 0.368]]
}


Repeat the second record exactly.
{
  "formula": "CaNi3Ir",
  "functional": "PBE-GGA",
  "state": "optimized geometry",
  "e_tot_ev_per_atom": -3.88,
  "magnetic_moment_mub_per_fu": 0.363,
  "crystal_system": "cubic",
  "ef_ev_per_atom": 1.76,
  "n_ef_per_ev_atom": 1.798,
  "lattice_angstrom": [[-3.937, 0.526, 1.738], [0.702, -3.386, 2.616], [1.675, 2.657, 2.989]],
  "species": ["Ni", "Ni", "Ni", "Ir", "Ca"],
  "fractional_positions": [[0.000, 0.500, 0.000], [0.500, 0.000, 0.000], [0.000, 0.000, 0.500], [0.500, 0.500, 0.500], [0.000, 0.000, 0.000]]
}


Please write out number 1 again, unchanged.
{
  "formula": "Pm6Nd3Cd",
  "functional": "PBE-GGA",
  "state": "optimized geometry",
  "e_tot_ev_per_atom": -4.34,
  "magnetic_moment_mub_per_fu": 0.000,
  "crystal_system": "orthorhombic",
  "ef_ev_per_atom": 0.04,
  "n_ef_per_ev_atom": 1.319,
  "lattice_angstrom": [[-4.903, 3.686, 1.756], [-6.218, -9.241, 2.031], [6.578, 5.093, 7.679]],
  "species": ["Pm", "Pm", "Pm", "Pm", "Pm", "Pm", "Pm", "Pm", "Pm", "Pm", "Pm", "Pm", "Cd", "Cd", "Nd", "Nd", "Nd", "Nd", "Nd", "Nd"],
  "fractional_positions": [[0.161, 0.706, 0.294], [0.557, 0.289, 0.362], [0.879, 0.428, 0.036], [0.879, 0.964, 0.572], [0.388, 0.945, 0.055], [0.057, 0.362, 0.289], [0.557, 0.638, 0.711], [0.057, 0.711, 0.638], [0.661, 0.294, 0.706], [0.379, 0.572, 0.964], [0.888, 0.055, 0.945], [0.379, 0.036, 0.428], [0.165, 0.240, 0.760], [0.665, 0.760, 0.240], [0.406, 0.957, 0.705], [0.906, 0.043, 0.295], [0.588, 0.605, 0.395], [0.088, 0.395, 0.605], [0.906, 0.705, 0.957], [0.406, 0.295, 0.043]]
}


Q: Number 3 is which compound?
A: CsRb2Ba2